W2AuCl, optimized geometry, DFT GGA-PBE; energy relative to the elements, uncorrected = 668 meV per atom; size of the total moment = 0.00 μB/f.u.; polymorph energy (0 for the lowest one) = 0.3498 eV/atom; space group = No. 166
1.0
-1.6861 8.7422 -1.5640
-3.7391 7.5600 -3.2527
-4.2459 7.9695 -0.4173
Au Cl W
1 1 2
Direct
0.2500 0.2500 0.2500 Au
0.7500 0.7500 0.7500 Cl
0.0037 0.0037 0.0037 W
0.4963 0.4963 0.4963 W

W2AuCl, optimized geometry, DFT GGA-PBE; energy relative to the elements, uncorrected = 713 meV per atom; size of the total moment = 0.00 μB/f.u.; polymorph energy (0 for the lowest one) = 0.3948 eV/atom; space group = No. 25
1.0
-0.7099 2.0887 1.6854
-4.0968 -0.7803 -0.7586
-0.1386 -3.8304 4.6885
Au Cl W
1 1 2
Direct
0.0000 0.0000 0.4638 Au
0.5000 0.5000 0.8214 Cl
0.0000 0.0000 0.0034 W
0.5000 0.5000 0.2114 W

W2AuCl, optimized geometry, DFT GGA-PBE; energy relative to the elements, uncorrected = 1320 meV per atom; size of the total moment = 0.00 μB/f.u.; polymorph energy (0 for the lowest one) = 1.0012 eV/atom; space group = No. 123
1.0
4.6166 0.0000 0.0000
0.0000 3.8823 0.0000
0.0000 0.0000 3.8823
Au Cl W
1 1 2
Direct
0.5000 0.5000 0.0000 Au
0.5000 0.0000 0.5000 Cl
0.0000 0.0000 0.0000 W
0.0000 0.5000 0.5000 W

W2AuCl, optimized geometry, DFT GGA-PBE; energy relative to the elements, uncorrected = 1159 meV per atom; size of the total moment = 0.00 μB/f.u.; polymorph energy (0 for the lowest one) = 0.8401 eV/atom; space group = No. 65
1.0
-2.1704 0.2277 -4.7452
5.1588 -0.8135 0.0726
-0.4314 -2.7297 0.0663
Au Cl W
1 1 2
Direct
0.5000 0.0000 0.5000 Au
0.0000 0.5000 0.5000 Cl
0.0000 0.0000 0.0000 W
0.5000 0.5000 0.0000 W

W2AuCl, optimized geometry, DFT GGA-PBE; energy relative to the elements, uncorrected = 354 meV per atom; size of the total moment = 0.00 μB/f.u.; polymorph energy (0 for the lowest one) = 0.0358 eV/atom; space group = No. 35
1.0
2.9125 -0.0056 0.0000
-1.0894 2.7011 0.0000
0.0000 0.0000 9.4253
Au Cl W
1 1 2
Direct
0.0000 0.0000 0.4688 Au
0.5000 0.5000 0.7965 Cl
0.0000 0.0000 0.0115 W
0.5000 0.5000 0.2232 W

WAu2Cl, optimized geometry, DFT GGA-PBE; energy relative to the elements, uncorrected = 723 meV per atom; size of the total moment = 0.00 μB/f.u.; polymorph energy (0 for the lowest one) = 0.5794 eV/atom; space group = No. 122
1.0
-0.5839 -4.3526 -7.6063
-7.5459 -3.6268 2.6547
-5.2343 -2.2286 -3.3938
Au W Cl
4 2 2
Direct
0.7158 0.1250 0.2500 Au
0.0342 0.6250 0.2500 Au
0.3750 0.2842 0.7500 Au
0.8750 0.9658 0.7500 Au
0.0000 0.0000 0.0000 W
0.7500 0.2500 0.5000 W
0.5000 0.5000 0.0000 Cl
0.2500 0.7500 0.5000 Cl

W2AuCl, optimized geometry, DFT GGA-PBE; energy relative to the elements, uncorrected = 583 meV per atom; size of the total moment = 0.00 μB/f.u.; polymorph energy (0 for the lowest one) = 0.2647 eV/atom; space group = No. 12
1.0
4.9264 -0.1553 1.0847
4.0265 2.8426 1.0847
2.7493 0.8252 7.1050
Au Cl W
1 1 2
Direct
0.7500 0.7500 0.7500 Au
0.2500 0.2500 0.2500 Cl
0.9637 0.9637 0.8917 W
0.5363 0.5363 0.6083 W

W3AuCl, optimized geometry, DFT GGA-PBE; energy relative to the elements, uncorrected = 1466 meV per atom; size of the total moment = 0.00 μB/f.u.; polymorph energy (0 for the lowest one) = 0.0000 eV/atom; space group = No. 221
1.0
4.4038 0.0000 0.0000
0.0000 4.4038 0.0000
0.0000 0.0000 4.4038
Au W Cl
1 3 1
Direct
0.5000 0.5000 0.5000 Au
0.0000 0.5000 0.0000 W
0.0000 0.0000 0.5000 W
0.5000 0.0000 0.0000 W
0.0000 0.0000 0.0000 Cl

WAu2Cl, optimized geometry, DFT GGA-PBE; energy relative to the elements, uncorrected = 1010 meV per atom; size of the total moment = 3.27 μB/f.u.; polymorph energy (0 for the lowest one) = 0.8662 eV/atom; space group = No. 139
1.0
-0.2626 -3.9982 -4.0439
-0.0452 -5.5602 1.2205
-2.5904 4.8297 1.5400
Au Cl W
2 1 1
Direct
0.0000 0.0000 0.0000 Au
0.5000 0.5000 0.0000 Au
0.2500 0.7500 0.5000 Cl
0.7500 0.2500 0.5000 W

WAu2Cl, optimized geometry, DFT GGA-PBE; energy relative to the elements, uncorrected = 1098 meV per atom; size of the total moment = 2.68 μB/f.u.; polymorph energy (0 for the lowest one) = 0.9541 eV/atom; space group = No. 225
1.0
0.0000 3.3557 3.3557
3.3557 0.0000 3.3557
3.3557 3.3557 0.0000
Au W Cl
2 1 1
Direct
0.2500 0.2500 0.2500 Au
0.7500 0.7500 0.7500 Au
0.5000 0.5000 0.5000 W
0.0000 0.0000 0.0000 Cl

WAu2Cl, optimized geometry, DFT GGA-PBE; energy relative to the elements, uncorrected = 525 meV per atom; size of the total moment = 0.00 μB/f.u.; polymorph energy (0 for the lowest one) = 0.3806 eV/atom; space group = No. 8
1.0
-3.6517 -1.8269 1.6545
-1.6046 -1.8108 3.6819
-2.5237 4.9991 2.5086
Au Cl W
2 1 1
Direct
0.9879 0.9879 0.0117 Au
0.7406 0.7406 0.7409 Au
0.5162 0.5162 0.4444 Cl
0.2553 0.2553 0.3031 W

W2AuCl, optimized geometry, DFT GGA-PBE; energy relative to the elements, uncorrected = 830 meV per atom; size of the total moment = 0.00 μB/f.u.; polymorph energy (0 for the lowest one) = 0.5117 eV/atom; space group = No. 65
1.0
-0.6398 1.0670 -2.6607
-1.9348 -0.1136 2.2070
2.7052 8.6458 2.8166
Au Cl W
1 1 2
Direct
0.5000 0.5000 0.2500 Au
0.5000 0.5000 0.7500 Cl
0.0000 0.0000 0.9883 W
0.0000 0.0000 0.5117 W